Record 1
K2InFe | Alexandria via LeMat-Bulk | GGA-PBE | optimized geometry; formation energy = 9.00 kcal/mol of atoms; calculated volume = 36.52 Å³/atom
1.0
3.778 0.000 0.000
0.000 3.745 0.000
-1.766 0.000 10.325
K In Fe
2 1 1
direct
0.000 0.000 0.000 K
0.306 0.500 0.603 K
0.659 0.500 0.293 In
0.169 0.000 0.313 Fe

=====

Record 2
K2InFe | Alexandria via LeMat-Bulk | GGA-PBE | optimized geometry; formation energy = 15.92 kcal/mol of atoms; calculated volume = 30.81 Å³/atom
1.0
-2.800 2.800 3.929
2.800 -2.800 3.929
2.800 2.800 -3.929
K In Fe
2 1 1
direct
0.000 0.000 0.000 K
0.750 0.250 0.500 K
0.250 0.750 0.500 In
0.500 0.500 0.000 Fe

=====

Record 3
KIn2Fe | Alexandria via LeMat-Bulk | GGA-PBE | optimized geometry; polymorph energy (0 for the lowest one) = 0.048 eV per atom; formation energy = 6.25 kcal/mol of atoms; calculated volume = 30.38 Å³/atom
1.0
2.311 1.334 6.568
-2.311 1.334 6.568
0.000 -2.669 6.568
K In Fe
1 2 1
direct
0.000 0.000 0.000 K
0.202 0.202 0.202 In
0.798 0.798 0.798 In
0.500 0.500 0.500 Fe

=====

Record 4
KInFe | Alexandria via LeMat-Bulk | GGA-PBE | optimized geometry; polymorph energy (0 for the lowest one) = 0.003 eV per atom; formation energy = 11.20 kcal/mol of atoms; calculated volume = 27.52 Å³/atom
1.0
-1.505 2.182 6.286
1.505 -2.182 6.286
1.505 2.182 -6.286
K In Fe
1 1 1
direct
0.000 0.000 0.000 K
0.724 0.724 0.000 In
0.269 0.269 0.000 Fe

=====

Record 5
K2In2Fe | Alexandria via LeMat-Bulk | GGA-PBE | optimized geometry; polymorph energy (0 for the lowest one) = 0.076 eV per atom; formation energy = 16.78 kcal/mol of atoms; calculated volume = 34.98 Å³/atom
1.0
10.670 0.000 0.000
0.000 10.670 0.000
0.000 0.000 3.073
K In Fe
4 4 2
direct
0.196 0.304 0.000 K
0.304 0.804 0.000 K
0.696 0.196 0.000 K
0.804 0.696 0.000 K
0.100 0.600 0.500 In
0.400 0.100 0.500 In
0.600 0.900 0.500 In
0.900 0.400 0.500 In
0.000 0.000 0.000 Fe
0.500 0.500 0.000 Fe

=====

Record 6
K2InFe | Alexandria via LeMat-Bulk | GGA-PBE | optimized geometry; formation energy = 16.26 kcal/mol of atoms; calculated volume = 30.66 Å³/atom
1.0
-2.171 2.334 6.051
2.171 -2.334 6.051
2.171 2.334 -6.051
K In Fe
2 1 1
direct
0.222 0.222 0.000 K
0.778 0.778 0.000 K
0.500 0.000 0.500 In
0.000 0.500 0.500 Fe

=====

Q: Which of these has the lowest calculated volume?
A: KInFe